1.
Here is a relaxed structure of CaCdP2Cl from Alexandria. Energies are from PBE-GGA.

## Properties
Space group: P4/mmm, No. 123
Fermi-level density of states, states/eV/atom: 0.97
Magnetization, μB per cell: 0.3
Formation energy from raw total energies, eV/atom: -0.02

Geometry as CIF:
```
data_CaCdP2Cl
_chemical_formula_sum 'Ca1 Cd1 P2 Cl1'
_cell_length_a 4.891
_cell_length_b 4.891
_cell_length_c 5.535
_cell_angle_alpha 90.00
_cell_angle_beta 90.00
_cell_angle_gamma 90.00
_space_group_name_H-M_alt 'P 1'
_space_group_IT_number 1
loop_
_space_group_symop_operation_xyz
'x,y,z'
loop_
_atom_site_label
_atom_site_type_symbol
_atom_site_fract_x
_atom_site_fract_y
_atom_site_fract_z
_atom_site_occupancy
Ca1 Ca 0.000 0.000 0.000 1
Cd1 Cd 0.500 0.500 0.500 1
P1 P 0.000 0.500 0.500 1
P2 P 0.500 0.000 0.500 1
Cl1 Cl 0.500 0.500 0.000 1
```

2.
Here is a relaxed structure of Ca2CdPbCl8 from Alexandria. Energies are from PBE-GGA.

## Properties
Space group: P2/m, No. 10
Fermi-level density of states, states/eV/atom: 0.00
Magnetization, μB per cell: 0.0
Formation energy from raw total energies, eV/atom: -1.74

Geometry as CIF:
```
data_Ca2CdPbCl8
_chemical_formula_sum 'Ca2 Cd1 Pb1 Cl8'
_cell_length_a 6.355
_cell_length_b 8.442
_cell_length_c 6.570
_cell_angle_alpha 90.00
_cell_angle_beta 90.13
_cell_angle_gamma 90.00
_space_group_name_H-M_alt 'P 1'
_space_group_IT_number 1
loop_
_space_group_symop_operation_xyz
'x,y,z'
loop_
_atom_site_label
_atom_site_type_symbol
_atom_site_fract_x
_atom_site_fract_y
_atom_site_fract_z
_atom_site_occupancy
Ca1 Ca 0.000 0.242 0.000 1
Ca2 Ca 0.000 0.758 0.000 1
Cd1 Cd 0.500 0.000 0.500 1
Pb1 Pb 0.500 0.500 0.500 1
Cl1 Cl 0.213 0.500 0.842 1
Cl2 Cl 0.227 0.000 0.824 1
Cl3 Cl 0.276 0.230 0.329 1
Cl4 Cl 0.276 0.770 0.329 1
Cl5 Cl 0.724 0.230 0.671 1
Cl6 Cl 0.724 0.770 0.671 1
Cl7 Cl 0.773 0.000 0.176 1
Cl8 Cl 0.787 0.500 0.158 1
```

3.
Here is a relaxed structure of Ca2CdPbCl from Alexandria. Energies are from PBE-GGA.

## Properties
Space group: P4/mmm, No. 123
Fermi-level density of states, states/eV/atom: 0.36
Magnetization, μB per cell: 0.0
Formation energy from raw total energies, eV/atom: -0.35

Geometry as CIF:
```
data_Ca2CdPbCl
_chemical_formula_sum 'Ca2 Cd1 Pb1 Cl1'
_cell_length_a 6.077
_cell_length_b 6.077
_cell_length_c 5.700
_cell_angle_alpha 90.00
_cell_angle_beta 90.00
_cell_angle_gamma 90.00
_space_group_name_H-M_alt 'P 1'
_space_group_IT_number 1
loop_
_space_group_symop_operation_xyz
'x,y,z'
loop_
_atom_site_label
_atom_site_type_symbol
_atom_site_fract_x
_atom_site_fract_y
_atom_site_fract_z
_atom_site_occupancy
Ca1 Ca 0.000 0.500 0.000 1
Ca2 Ca 0.500 0.000 0.000 1
Cd1 Cd 0.000 0.000 0.500 1
Pb1 Pb 0.000 0.000 0.000 1
Cl1 Cl 0.500 0.500 0.500 1
```

4.
Here is a relaxed structure of CaCdPbCl6 from Alexandria. Energies are from PBE-GGA.

## Properties
Space group: P-31c, No. 163
Fermi-level density of states, states/eV/atom: 0.00
Magnetization, μB per cell: 0.0
Formation energy from raw total energies, eV/atom: -1.54

Geometry as CIF:
```
data_CaCdPbCl6
_chemical_formula_sum 'Ca2 Cd2 Pb2 Cl12'
_cell_length_a 6.939
_cell_length_b 6.939
_cell_length_c 12.604
_cell_angle_alpha 90.00
_cell_angle_beta 90.00
_cell_angle_gamma 120.00
_space_group_name_H-M_alt 'P 1'
_space_group_IT_number 1
loop_
_space_group_symop_operation_xyz
'x,y,z'
loop_
_atom_site_label
_atom_site_type_symbol
_atom_site_fract_x
_atom_site_fract_y
_atom_site_fract_z
_atom_site_occupancy
Ca1 Ca 0.333 0.667 0.250 1
Ca2 Ca 0.667 0.333 0.750 1
Cd1 Cd 0.333 0.667 0.750 1
Cd2 Cd 0.667 0.333 0.250 1
Pb1 Pb 0.000 0.000 0.000 1
Pb2 Pb 0.000 0.000 0.500 1
Cl1 Cl 0.009 0.356 0.631 1
Cl2 Cl 0.009 0.654 0.869 1
Cl3 Cl 0.346 0.356 0.869 1
Cl4 Cl 0.346 0.991 0.631 1
Cl5 Cl 0.356 0.009 0.131 1
Cl6 Cl 0.356 0.346 0.369 1
Cl7 Cl 0.644 0.654 0.631 1
Cl8 Cl 0.644 0.991 0.869 1
Cl9 Cl 0.654 0.009 0.369 1
Cl10 Cl 0.654 0.644 0.131 1
Cl11 Cl 0.991 0.346 0.131 1
Cl12 Cl 0.991 0.644 0.369 1
```